DFT (PBE) results for crystalline CaNbAg at its relaxed geometry.

Cell lengths 4.7509, 3.3002, 8.9074 Å; angles 89.88, 105.23, 90.00 degrees
Last column: nearest neighbours and their distance in Å.
Positions (direct):
Ag (0.1229, 0.8806, 0.0842)  3 Nb 2.90-3.22, 4 Ca 2.97-2.98
Ag (0.8478, 0.8842, 0.5364)  2 Nb 2.89-2.90, 4 Ca 2.97
Ca (0.6638, 0.3797, 0.1647)  4 Ag 2.97-2.98, 2 Ca 3.30
Ca (0.3090, 0.3851, 0.4574)  4 Ag 2.97, 2 Ca 3.30
Nb (0.9092, 0.3825, 0.8102)  2 Nb 2.73, 4 Ag 2.89-2.90
Nb (0.4527, 0.8825, 0.8112)  2 Nb 2.73

* energy of formation: 0.15 eV/atom
* total magnetization: 0.00 Bohr magnetons per cell
* SG: P1



DFT (PBE) results for crystalline CaNb3Ag at its relaxed geometry.

Cell lengths 4.7524, 4.7524, 4.7524 Å; angles 90.00, 90.00, 90.00 degrees
Last column: nearest neighbours and their distance in Å.
Positions (direct):
Ag (0.5000, 0.5000, 0.5000)  12 Nb 3.36
Ca (0.0000, 0.0000, 0.0000)  6 Nb 2.38
Nb (0.0000, 0.5000, 0.0000)  2 Ca 2.38
Nb (0.0000, 0.0000, 0.5000)  2 Ca 2.38
Nb (0.5000, 0.0000, 0.0000)  2 Ca 2.38

* energy of formation: 2.26 eV/atom
* total magnetization: 0.00 Bohr magnetons per cell
* SG: Pm-3m



no.,calculated volume (Å³/cell),energy above the most stable polymorph in this dataset (eV/atom)
1,134.75,0.0000
2,107.34,0.7009